SrLa3Rh: relaxed, PBE. Values from VASP.

Energy of formation from the pure elements (eV per atom): 1.3229
V (Å³/atom): 35.5
Symmetry: Pm-3m (221)
Energy above the lowest structure with this stoichiometry (meV per atom): 1601

Cell and atoms, written as Quantum ESPRESSO input:
```
&SYSTEM
  ibrav = 0, nat = 5, ntyp = 3
/
ATOMIC_SPECIES
Sr 87.62 Sr.upf
La 138.91 La.upf
Rh 102.91 Rh.upf
CELL_PARAMETERS angstrom
5.619 0.000 0.000
0.000 5.619 0.000
0.000 0.000 5.619
ATOMIC_POSITIONS crystal
Sr 0.000 0.000 0.000
La 0.000 0.000 0.500
La 0.000 0.500 0.000
La 0.500 0.000 0.000
Rh 0.500 0.500 0.500
```

---

LaCdTePH: relaxed, PBE. Values from VASP.

V (Å³/atom): 25.9
Symmetry: Cm (8)
Energy above the lowest structure with this stoichiometry (meV per atom): 126

Cell and atoms, written as Quantum ESPRESSO input:
```
&SYSTEM
  ibrav = 0, nat = 5, ntyp = 5
/
ATOMIC_SPECIES
La 138.91 La.upf
Cd 112.41 Cd.upf
Te 127.60 Te.upf
P 30.97 P.upf
H 1.01 H.upf
CELL_PARAMETERS angstrom
3.691 -2.203 0.000
3.691 2.203 0.000
-2.225 0.000 7.961
ATOMIC_POSITIONS crystal
La 0.000 0.000 0.000
Cd 0.191 0.191 0.407
Te 0.265 0.265 0.754
P 0.739 0.739 0.233
H 0.525 0.525 0.152
```

---

The records above yield M_tot values of 0.0000, 0.0000 μB/atom, respectively.